Entry 1:
Entry from Alexandria: crystalline Zn3P at its relaxed geometry (GGA-PBE).

extended XYZ file:
```
8
Lattice="3.816 0.000 0.000 0.000 6.762 0.000 0.000 0.000 5.173" Properties=species:S:1:pos:R:3 pbc="T T T"
Zn 0.954 0.316 1.104
Zn 0.954 1.691 4.142
Zn 0.954 3.065 1.104
Zn 2.862 3.697 4.069
Zn 2.862 5.072 1.032
Zn 2.862 6.446 4.069
P 0.954 5.072 2.602
P 2.862 1.691 2.572
```

Summary:
V = 133.5 Å³ per cell
Energy relative to the elements = 0.17 eV per formula unit
Relative energy among the computed polymorphs = 6.4 meV per atom


Entry 2:
Entry from Alexandria: crystalline CdMoPd3 at its relaxed geometry (GGA-PBE).

extended XYZ file:
```
5
Lattice="4.819 0.000 0.000 0.000 4.819 0.000 0.000 0.000 4.819" Properties=species:S:1:pos:R:3 pbc="T T T"
Cd 0.000 0.000 0.000
Mo 2.410 2.410 2.410
Pd 0.000 2.410 2.410
Pd 2.410 0.000 2.410
Pd 2.410 2.410 0.000
```

Summary:
V = 111.9 Å³ per cell
Energy relative to the elements = 4.78 eV per formula unit
Relative energy among the computed polymorphs = 0.0 meV per atom


Entry 3:
Entry from Alexandria: crystalline KSr2SnPt at its relaxed geometry (GGA-PBE).

extended XYZ file:
```
5
Lattice="6.034 0.000 0.000 0.000 6.034 0.000 0.000 0.000 5.232" Properties=species:S:1:pos:R:3 pbc="T T T"
K 0.000 0.000 0.000
Sr 0.000 3.017 2.616
Sr 3.017 0.000 2.616
Sn 3.017 3.017 0.000
Pt 3.017 3.017 2.616
```

Summary:
V = 190.5 Å³ per cell
Energy relative to the elements = -2.13 eV per formula unit


Entry 4:
Entry from Alexandria: crystalline La7TbPm2 at its relaxed geometry (GGA-PBE).

extended XYZ file:
```
10
Lattice="6.098 -8.593 0.000 6.098 8.593 0.000 0.000 0.000 3.573" Properties=species:S:1:pos:R:3 pbc="T T T"
La 0.000 0.000 0.000
La 2.995 2.210 0.000
La 6.098 5.489 1.786
La 2.995 -2.210 0.000
La 9.201 2.210 0.000
La 6.098 -5.489 1.786
La 9.201 -2.210 0.000
Tb 6.098 0.000 1.786
Pm 6.098 2.876 0.000
Pm 6.098 -2.876 0.000
```

Summary:
V = 374.4 Å³ per cell
Energy relative to the elements = 3.15 eV per formula unit
Relative energy among the computed polymorphs = 0.0 meV per atom


Entry 5:
Entry from Alexandria: crystalline GaPb2Se at its relaxed geometry (GGA-PBE).

extended XYZ file:
```
4
Lattice="0.000 3.741 3.741 3.741 0.000 3.741 3.741 3.741 0.000" Properties=species:S:1:pos:R:3 pbc="T T T"
Ga 0.000 0.000 0.000
Pb 1.870 1.870 1.870
Pb 5.611 5.611 5.611
Se 3.741 3.741 3.741
```

Summary:
V = 104.7 Å³ per cell
Raw formation energy = 0.02 eV/atom
Relative energy among the computed polymorphs = 0.0 meV per atom


Entry 6:
Entry from Alexandria: crystalline Nd3Sb2O at its relaxed geometry (GGA-PBE).

extended XYZ file:
```
12
Lattice="6.679 -3.194 0.000 6.679 3.194 0.000 -1.132 0.000 8.035" Properties=species:S:1:pos:R:3 pbc="T T T"
Nd 5.830 2.446 6.027
Nd 4.307 0.593 2.567
Nd 3.741 -0.593 6.585
Nd 8.485 0.593 1.450
Nd 7.919 -0.593 5.468
Nd 6.396 -2.446 2.009
Sb 2.207 0.420 0.152
Sb 1.642 -0.420 4.170
Sb 10.584 0.420 3.865
Sb 10.019 -0.420 7.883
O 5.830 0.198 6.027
O 6.396 -0.198 2.009
```

Summary:
V = 342.9 Å³ per cell
Raw formation energy = -1.55 eV/atom


Entry 7:
Entry from Alexandria: crystalline TbPr2Ir2 at its relaxed geometry (GGA-PBE).

extended XYZ file:
```
10
Lattice="-3.961 5.427 3.169 3.961 -5.427 3.169 3.961 5.427 -3.169" Properties=species:S:1:pos:R:3 pbc="T T T"
Tb 0.000 0.000 1.585
Tb 0.000 0.000 4.754
Pr 5.022 1.719 0.000
Pr 1.061 3.708 0.000
Pr 2.901 1.719 3.169
Pr -1.061 3.708 3.169
Ir 2.080 1.050 0.000
Ir 2.080 -1.050 3.169
Ir 1.881 6.477 0.000
Ir 1.881 4.376 3.169
```

Summary:
V = 272.5 Å³ per cell
Energy relative to the elements = -2.65 eV per formula unit


Entry 8:
Entry from Alexandria: crystalline InHPd3 at its relaxed geometry (GGA-PBE).

extended XYZ file:
```
10
Lattice="7.164 -1.474 0.000 7.164 1.474 0.000 -0.298 0.000 6.801" Properties=species:S:1:pos:R:3 pbc="T T T"
In 2.913 0.000 2.025
In 11.117 0.000 4.777
H 6.271 0.000 1.201
H 7.758 0.000 5.600
Pd 0.261 0.000 1.423
Pd 2.090 0.000 6.161
Pd 5.568 0.000 3.075
Pd 8.461 0.000 3.726
Pd 11.939 0.000 0.640
Pd 13.768 0.000 5.378
```

Summary:
V = 143.6 Å³ per cell
Relative energy among the computed polymorphs = 243.1 meV per atom